# Li4LuIn, relaxed, DFT GGA-PBE
data_Li4LuIn
_space_group_name_H-M_alt 'P 1'
_space_group_IT_number 1
_space_group_name_Hall 'P 1'
_cell_length_a 5.459
_cell_length_b 5.459
_cell_length_c 5.459
_cell_angle_alpha 60.00
_cell_angle_beta 60.00
_cell_angle_gamma 60.00
loop_
_atom_site_label
_atom_site_type_symbol
_atom_site_fract_x
_atom_site_fract_y
_atom_site_fract_z
Li1 Li 0.626 0.123 0.626
In1 In 0.000 0.000 0.000
Li2 Li 0.626 0.626 0.626
Li3 Li 0.626 0.626 0.123
Lu1 Lu 0.250 0.250 0.250
Li4 Li 0.123 0.626 0.626
# * calculated formation energy: -0.73 eV per formula unit
# * theoretical density: 4.6 g/cm3
# * E_tot: -2.608 eV/atom

# Ba2CaYPd, relaxed, DFT GGA-PBE
data_Ba2CaYPd
_space_group_name_H-M_alt 'P 1'
_space_group_IT_number 1
_space_group_name_Hall 'P 1'
_cell_length_a 6.319
_cell_length_b 6.319
_cell_length_c 5.575
_cell_angle_alpha 90.00
_cell_angle_beta 90.00
_cell_angle_gamma 90.00
loop_
_atom_site_label
_atom_site_type_symbol
_atom_site_fract_x
_atom_site_fract_y
_atom_site_fract_z
Ba1 Ba 0.000 0.500 0.000
Ca1 Ca 0.500 0.500 0.500
Pd1 Pd 0.000 0.000 0.000
Ba2 Ba 0.500 0.000 0.000
Y1 Y 0.000 0.000 0.500
# * calculated formation energy: -0.70 eV per formula unit
# * theoretical density: 3.8 g/cm3
# * E_tot: -3.641 eV/atom

# Pr2Ho4Tm7, relaxed, DFT GGA-PBE
data_Pr2Ho4Tm7
_space_group_name_H-M_alt 'P 1'
_space_group_IT_number 1
_space_group_name_Hall 'P 1'
_cell_length_a 6.016
_cell_length_b 6.016
_cell_length_c 13.351
_cell_angle_alpha 90.00
_cell_angle_beta 90.00
_cell_angle_gamma 120.00
loop_
_atom_site_label
_atom_site_type_symbol
_atom_site_fract_x
_atom_site_fract_y
_atom_site_fract_z
Tm1 Tm 0.348 0.348 0.785
Ho1 Ho 0.000 0.000 0.395
Ho2 Ho 0.000 0.000 0.605
Tm2 Tm 0.000 0.000 0.000
Tm3 Tm 0.000 0.348 0.215
Tm4 Tm 0.652 0.000 0.785
Tm5 Tm 0.348 0.000 0.215
Ho3 Ho 0.667 0.333 0.500
Pr1 Pr 0.333 0.667 0.000
Pr2 Pr 0.667 0.333 0.000
Tm6 Tm 0.000 0.652 0.785
Ho4 Ho 0.333 0.667 0.500
Tm7 Tm 0.652 0.652 0.215
# * calculated formation energy: 2.55 eV per formula unit
# * theoretical density: 8.4 g/cm3
# * E_tot: -4.355 eV/atom

Question: The lowest E_tot belongs to which entry?
Answer: Pr2Ho4Tm7

Question: E_tot of number 2 (Ba2CaYPd)?
Answer: -3.641 eV/atom

Question: Which value of E_tot does entry 1 give?
Answer: -2.608 eV/atom